Record 1
## Dy8Ho3Tm2 (PBE-GGA)

Data for a relaxed Dy8Ho3Tm2 crystal.

Summary:
The value obtained for the uncorrected energy is -4.34 eV/atom. The energy of formation from the pure elements comes out at 0.23 eV per atom.

CIF file:
```
data_Dy8Ho3Tm2
_chemical_formula_sum 'Dy16 Ho6 Tm4'
_cell_length_a 7.5870
_cell_length_b 19.9302
_cell_length_c 5.5769
_cell_angle_alpha 90.00
_cell_angle_beta 90.00
_cell_angle_gamma 90.00
_space_group_name_H-M_alt 'C m m m'
_space_group_IT_number 65
_space_group_name_Hall '-C 2 2'
loop_
_atom_site_label
_atom_site_type_symbol
_atom_site_fract_x
_atom_site_fract_y
_atom_site_fract_z
_atom_site_occupancy
Dy1 Dy 0.0000 0.1331 0.0000 1
Dy2 Dy 0.0000 0.3309 0.0000 1
Dy3 Dy 0.2104 0.3916 0.5000 1
Ho1 Ho 0.0000 0.0000 0.5000 1
Ho2 Ho 0.2147 0.5000 0.0000 1
Tm1 Tm 0.0000 0.2411 0.5000 1
```

=====

Record 2
## TiZn2Au (PBE-GGA)

Data for a relaxed TiZn2Au crystal.

Summary:
The value obtained for the uncorrected energy is -3.51 eV/atom. The energy of formation from the pure elements comes out at -0.08 eV per atom.

CIF file:
```
data_TiZn2Au
_chemical_formula_sum 'Ti2 Zn4 Au2'
_cell_length_a 5.0135
_cell_length_b 2.9201
_cell_length_c 9.1322
_cell_angle_alpha 90.00
_cell_angle_beta 100.32
_cell_angle_gamma 90.00
_space_group_name_H-M_alt 'C 1 m 1'
_space_group_IT_number 8
loop_
_space_group_symop_operation_xyz
'x,y,z'
'x,-y,z'
'x+1/2,y+1/2,z'
'x+1/2,-y+1/2,z'
loop_
_atom_site_label
_atom_site_type_symbol
_atom_site_fract_x
_atom_site_fract_y
_atom_site_fract_z
_atom_site_occupancy
Ti1 Ti 0.0000 0.0000 0.0000 1
Zn1 Zn 0.0806 0.5000 0.7493 1
Zn2 Zn 0.2452 0.5000 0.2498 1
Au1 Au 0.1634 0.0000 0.5011 1
```